# CuSn2S6 | Alexandria | PBE | optimized geometry
data_CuSn2S6
_chemical_formula_sum 'Cu2 Sn4 S12'
_cell_length_a 6.147
_cell_length_b 6.147
_cell_length_c 10.817
_cell_angle_alpha 90.00
_cell_angle_beta 90.00
_cell_angle_gamma 90.00
_space_group_name_H-M_alt 'P 42/m n m'
_space_group_IT_number 136
_space_group_name_Hall '-P 4n 2n'
loop_
_atom_site_label
_atom_site_type_symbol
_atom_site_fract_x
_atom_site_fract_y
_atom_site_fract_z
Cu1 Cu 0.000 0.000 0.000
Sn1 Sn 0.000 0.000 0.334
S1 S 0.182 0.182 0.154
S2 S 0.200 0.200 0.500
# Energy relative to the elements, uncorrected   0.15 eV per formula unit
# Total DFT energy (no corrections)   -73.43 eV/cell
# Volume   204.3 Å³/f.u.
# Magnetization   0.00 μB per formula unit
# D(E_F)   6.02 states/eV/f.u.